(1)
NiIr2Ru | GGA-PBE | optimized geometry

```
data_NiIr2Ru
_chemical_formula_sum 'Ni1 Ir2 Ru1'
_cell_length_a 4.565
_cell_length_b 4.565
_cell_length_c 2.681
_cell_angle_alpha 90.00
_cell_angle_beta 90.00
_cell_angle_gamma 90.00
_space_group_name_H-M_alt 'P 4/m m m'
_space_group_IT_number 123
_space_group_name_Hall '-P 4 2'
loop_
_atom_site_label
_atom_site_fract_x
_atom_site_fract_y
_atom_site_fract_z
Ni1 0.000 0.000 0.000
Ir1 0.000 0.500 0.500
Ru1 0.500 0.500 0.000
```

Summary:
calculated total energy = -7.8670 eV/atom
formation energy from the elements = 327.8 meV per atom
energy above the lowest structure with this stoichiometry = 0.339 eV/atom

=====

(2)
MgSc2In | GGA-PBE | optimized geometry

```
data_MgSc2In
_chemical_formula_sum 'Mg3 Sc6 In3'
_cell_length_a 3.2133
_cell_length_b 3.2133
_cell_length_c 33.8561
_cell_angle_alpha 90.00
_cell_angle_beta 90.00
_cell_angle_gamma 120.00
_space_group_name_H-M_alt 'R -3 m'
_space_group_IT_number 166
_space_group_name_Hall '-R 3 2"'
loop_
_atom_site_label
_atom_site_fract_x
_atom_site_fract_y
_atom_site_fract_z
Mg1 0.0000 0.0000 0.0000
Sc1 0.0000 0.0000 0.0921
In1 0.0000 0.0000 0.5000
```

Summary:
calculated total energy = -4.1371 eV/atom
formation energy from the elements = 112.0 meV per atom
energy above the lowest structure with this stoichiometry = 0.410 eV/atom

=====

(3)
Tb8SmEr6 | GGA-PBE | optimized geometry

```
data_Tb8SmEr6
_chemical_formula_sum 'Tb24 Sm3 Er18'
_cell_length_a 8.9945
_cell_length_b 8.9945
_cell_length_c 20.5410
_cell_angle_alpha 90.00
_cell_angle_beta 90.00
_cell_angle_gamma 120.00
_space_group_name_H-M_alt 'R -3'
_space_group_IT_number 148
_space_group_name_Hall '-R 3'
loop_
_atom_site_label
_atom_site_fract_x
_atom_site_fract_y
_atom_site_fract_z
Tb1 0.0000 0.0000 0.0767
Tb2 0.0812 0.5279 0.3080
Sm1 0.0000 0.0000 0.5000
Er1 0.0570 0.8120 0.2065
```

Summary:
calculated total energy = -4.4767 eV/atom
formation energy from the elements = 132.5 meV per atom

=====

(4)
Mg6Cd2Bi | GGA-PBE | optimized geometry

```
data_Mg6Cd2Bi
_chemical_formula_sum 'Mg24 Cd8 Bi4'
_cell_length_a 14.635
_cell_length_b 10.929
_cell_length_c 5.450
_cell_angle_alpha 90.00
_cell_angle_beta 102.80
_cell_angle_gamma 90.00
_space_group_name_H-M_alt 'C 1 2/c 1'
_space_group_IT_number 15
loop_
_space_group_symop_operation_xyz
'x,y,z'
'-x,-y,-z'
'-x,y,-z+1/2'
'x,-y,z+1/2'
'x+1/2,y+1/2,z'
'-x+1/2,-y+1/2,-z'
'-x+1/2,y+1/2,-z+1/2'
'x+1/2,-y+1/2,z+1/2'
loop_
_atom_site_label
_atom_site_fract_x
_atom_site_fract_y
_atom_site_fract_z
Mg1 0.055 0.120 0.030
Mg2 0.117 0.369 0.312
Mg3 0.229 0.378 0.864
Cd1 0.167 0.126 0.580
Bi1 0.000 0.377 0.750
```

Summary:
calculated total energy = -1.7512 eV/atom
formation energy from the elements = -53.5 meV per atom

=====

(5)
PdSeN2 | GGA-PBE | optimized geometry

```
data_PdSeN2
_chemical_formula_sum 'Pd3 Se3 N6'
_cell_length_a 3.1784
_cell_length_b 3.1784
_cell_length_c 18.0522
_cell_angle_alpha 90.00
_cell_angle_beta 90.00
_cell_angle_gamma 120.00
_space_group_name_H-M_alt 'R -3 m'
_space_group_IT_number 166
_space_group_name_Hall '-R 3 2"'
loop_
_atom_site_label
_atom_site_fract_x
_atom_site_fract_y
_atom_site_fract_z
Pd1 0.0000 0.0000 0.0000
Se1 0.0000 0.0000 0.5000
N1 0.0000 0.0000 0.3896
```

Summary:
calculated total energy = -5.3165 eV/atom
formation energy from raw total energies = 98 kJ per mole of atoms

=====

(6)
H3RuSe | GGA-PBE | optimized geometry

```
data_H3RuSe
_chemical_formula_sum 'H3 Ru1 Se1'
_cell_length_a 3.635
_cell_length_b 3.635
_cell_length_c 3.635
_cell_angle_alpha 90.00
_cell_angle_beta 90.00
_cell_angle_gamma 90.00
_space_group_name_H-M_alt 'P m -3 m'
_space_group_IT_number 221
_space_group_name_Hall '-P 4 2 3'
loop_
_atom_site_label
_atom_site_fract_x
_atom_site_fract_y
_atom_site_fract_z
H1 0.000 0.000 0.500
Ru1 0.500 0.500 0.500
Se1 0.000 0.000 0.000
```

Summary:
calculated total energy = -3.3265 eV/atom
energy above the lowest structure with this stoichiometry = 0.667 eV/atom

=====

Among the records above, which one has the highest calculated total energy? Mg6Cd2Bi